Record 1
First-principles (GGA-PBE) data for TlMo2Os after structural relaxation, as listed in Alexandria.

Cell: 5.413 5.413 5.413 Å, 146.19 128.56 62.99°
Fractional coordinates of all 4 atoms:
Mo1 0.022 0.022 0.000
Mo2 0.246 0.746 0.500
Os1 0.483 0.483 0.000
Tl1 0.749 0.249 0.500

ΔE_f	0.649	eV/atom
distance to the lowest polymorph of the same formula	25.9	kJ/mol of atoms
electronic total energy	-32.7	eV per formula unit
N(E_F)	2.996	states/eV/f.u.
magnetization	0.0	μB/f.u.

=====

Record 2
First-principles (GGA-PBE) data for PmAlAgSb after structural relaxation, as listed in Alexandria.

Cell: 5.137 5.137 5.137 Å, 60.00 60.00 60.00°
Fractional coordinates of all 4 atoms:
Sb1 0.250 0.250 0.250
Al1 0.500 0.500 0.500
Ag1 0.000 0.000 0.000
Pm1 0.750 0.750 0.750

electronic total energy	-16.0	eV per formula unit
N(E_F)	3.371	states/eV/f.u.
raw formation energy	-0.1325	eV per atom
magnetization	0.0	μB/f.u.

=====

Record 3
First-principles (GGA-PBE) data for Rb2Sn3Sb2S10 after structural relaxation, as listed in Alexandria.

Cell: 13.785 7.099 12.121 Å, 60.48 90.00 90.00°
Fractional coordinates of all 34 atoms:
Rb1 0.328 0.437 0.170
Rb2 0.172 0.437 0.670
Rb3 0.672 0.563 0.830
Rb4 0.828 0.563 0.330
Sn1 0.000 0.500 0.000
Sn2 0.500 0.500 0.500
Sn3 0.049 0.111 0.346
Sn4 0.451 0.111 0.846
Sn5 0.951 0.889 0.654
Sn6 0.549 0.889 0.154
Sb1 0.143 0.009 0.096
Sb2 0.357 0.009 0.596
Sb3 0.857 0.991 0.904
Sb4 0.643 0.991 0.404
S1 0.173 0.401 0.967
S2 0.327 0.401 0.467
S3 0.827 0.599 0.033
S4 0.673 0.599 0.533
S5 0.972 0.080 0.131
S6 0.528 0.080 0.631
S7 0.028 0.920 0.869
S8 0.472 0.920 0.369
S9 0.948 0.502 0.793
S10 0.552 0.502 0.293
S11 0.052 0.498 0.207
S12 0.448 0.498 0.707
S13 0.190 0.936 0.316
S14 0.310 0.936 0.816
S15 0.810 0.064 0.684
S16 0.690 0.064 0.184
S17 0.897 0.926 0.444
S18 0.603 0.926 0.944
S19 0.103 0.074 0.556
S20 0.397 0.074 0.056

electronic total energy	-73.0	eV per formula unit
N(E_F)	0.000	states/eV/f.u.
raw formation energy	-0.5618	eV per atom
magnetization	0.0	μB/f.u.

=====

Record 4
First-principles (GGA-PBE) data for NaC after structural relaxation, as listed in Alexandria.

Cell: 6.032 6.032 6.032 Å, 90.00 90.00 90.00°
Site moments in Bohr magnetons follow the coordinates.
Fractional coordinates of all 8 atoms:
Na1 0.000 0.000 0.000  0.06
Na2 0.000 0.500 0.500  0.06
Na3 0.500 0.000 0.500  0.06
Na4 0.500 0.500 0.000  0.06
C1 0.250 0.250 0.250  1.24
C2 0.250 0.750 0.750  1.24
C3 0.750 0.250 0.750  1.24
C4 0.750 0.750 0.250  1.24

ΔE_f	2.538	eV/atom
distance to the lowest polymorph of the same formula	222.6	kJ/mol of atoms
electronic total energy	-5.5	eV per formula unit
magnetization	3.0	μB/f.u.

=====

Record 5
First-principles (GGA-PBE) data for Sm4HoAs5 after structural relaxation, as listed in Alexandria.

Cell: 5.932 7.263 7.263 Å, 80.40 65.90 65.90°
Fractional coordinates of all 10 atoms:
Sm1 0.402 0.399 0.799
Sm2 0.801 0.799 0.601
Sm3 0.201 0.201 0.399
Sm4 0.600 0.601 0.201
Ho1 0.001 0.000 0.000
As1 0.902 0.395 0.802
As2 0.297 0.802 0.605
As3 0.705 0.198 0.395
As4 0.100 0.605 0.198
As5 0.501 0.000 0.000

ΔE_f	-1.525	eV/atom
electronic total energy	-62.0	eV per formula unit
N(E_F)	0.683	states/eV/f.u.
magnetization	0.0	μB/f.u.

=====

Record 6
First-principles (GGA-PBE) data for SrZnHgBi2 after structural relaxation, as listed in Alexandria.

Cell: 5.512 5.512 5.360 Å, 90.00 90.00 90.00°
Fractional coordinates of all 5 atoms:
Sr1 0.500 0.500 0.500
Zn1 0.000 0.000 0.000
Bi1 0.000 0.500 0.000
Bi2 0.500 0.000 0.000
Hg1 0.000 0.000 0.500

ΔE_f	-0.158	eV/atom
electronic total energy	-11.8	eV per formula unit
N(E_F)	3.201	states/eV/f.u.
magnetization	0.0	μB/f.u.

=====

Record 7
First-principles (GGA-PBE) data for TlRu3 after structural relaxation, as listed in Alexandria.

Cell: 4.617 4.617 3.018 Å, 90.00 90.00 90.00°
Site moments in Bohr magnetons follow the coordinates.
Fractional coordinates of all 4 atoms:
Ru1 0.000 0.000 0.000  0.21
Ru2 0.500 0.000 0.500  0.82
Ru3 0.500 0.500 0.000  0.21
Tl1 0.000 0.500 0.500  0.00

ΔE_f	0.721	eV/atom
distance to the lowest polymorph of the same formula	26.3	kJ/mol of atoms
electronic total energy	-27.3	eV per formula unit
N(E_F)	5.433	states/eV/f.u.
magnetization	1.3	μB/f.u.

=====

Record 8
First-principles (GGA-PBE) data for NaCuSn3 after structural relaxation, as listed in Alexandria.

Cell: 5.192 5.192 5.192 Å, 90.00 90.00 90.00°
Fractional coordinates of all 5 atoms:
Na1 0.500 0.500 0.500
Sn1 0.000 0.500 0.000
Sn2 0.000 0.000 0.500
Sn3 0.500 0.000 0.000
Cu1 0.000 0.000 0.000

ΔE_f	0.132	eV/atom
distance to the lowest polymorph of the same formula	17.5	kJ/mol of atoms
electronic total energy	-16.8	eV per formula unit
N(E_F)	2.649	states/eV/f.u.
magnetization	0.0	μB/f.u.

=====

Record 9
First-principles (GGA-PBE) data for BiTe after structural relaxation, as listed in Alexandria.

Cell: 4.484 4.484 24.827 Å, 90.00 90.00 120.00°
Fractional coordinates of all 12 atoms:
Bi1 0.333 0.667 0.292
Bi2 0.667 0.333 0.708
Bi3 0.000 0.000 0.872
Bi4 0.000 0.000 0.128
Bi5 0.667 0.333 0.466
Bi6 0.333 0.667 0.534
Te1 0.333 0.667 0.060
Te2 0.667 0.333 0.940
Te3 0.000 0.000 0.639
Te4 0.000 0.000 0.361
Te5 0.667 0.333 0.211
Te6 0.333 0.667 0.789

distance to the lowest polymorph of the same formula	0.0	kJ/mol of atoms
electronic total energy	-7.4	eV per formula unit
N(E_F)	0.180	states/eV/f.u.
raw formation energy	-0.2006	eV per atom
magnetization	0.0	μB/f.u.

=====

Record 10
First-principles (GGA-PBE) data for LaMgTe2 after structural relaxation, as listed in Alexandria.

Cell: 4.600 4.600 27.714 Å, 90.00 90.00 60.00°
Fractional coordinates of all 12 atoms:
La1 0.329 0.000 0.167
La2 0.671 0.329 0.833
La3 0.000 0.671 0.500
Mg1 0.000 0.665 0.000
Mg2 0.665 0.335 0.333
Mg3 0.335 0.000 0.667
Te1 0.004 0.662 0.899
Te2 0.333 0.004 0.566
Te3 0.662 0.333 0.233
Te4 0.667 0.338 0.434
Te5 0.996 0.667 0.101
Te6 0.338 0.996 0.767

electronic total energy	-16.3	eV per formula unit
N(E_F)	3.080	states/eV/f.u.
raw formation energy	-0.8721	eV per atom
magnetization	0.0	μB/f.u.

=====

Record 11
First-principles (GGA-PBE) data for GdScCuAu after structural relaxation, as listed in Alexandria.

Cell: 4.914 4.914 4.914 Å, 60.00 60.00 60.00°
Site moments in Bohr magnetons follow the coordinates.
Fractional coordinates of all 4 atoms:
Sc1 0.000 0.000 0.000  0.03
Gd1 0.500 0.500 0.500  7.02
Au1 0.250 0.250 0.250  0.01
Cu1 0.750 0.750 0.750  0.01

ΔE_f	-0.485	eV/atom
electronic total energy	-29.7	eV per formula unit
N(E_F)	3.263	states/eV/f.u.
magnetization	7.2	μB/f.u.

=====

Record 12
First-principles (GGA-PBE) data for TbYUO6 after structural relaxation, as listed in Alexandria.

Cell: 5.783 5.783 9.401 Å, 90.00 90.00 120.00°
Fractional coordinates of all 18 atoms:
Tb1 0.000 0.000 0.000
Tb2 0.000 0.000 0.500
Y1 0.333 0.667 0.250
Y2 0.667 0.333 0.750
U1 0.667 0.333 0.250
U2 0.333 0.667 0.750
O1 0.669 0.645 0.134
O2 0.976 0.331 0.134
O3 0.331 0.976 0.634
O4 0.024 0.669 0.866
O5 0.355 0.331 0.366
O6 0.976 0.645 0.366
O7 0.645 0.976 0.866
O8 0.669 0.024 0.366
O9 0.024 0.355 0.634
O10 0.355 0.024 0.134
O11 0.645 0.669 0.634
O12 0.331 0.355 0.866

electronic total energy	-82.2	eV per formula unit
N(E_F)	0.000	states/eV/f.u.
raw formation energy	-3.3398	eV per atom
magnetization	0.0	μB/f.u.